Density functional theory data (PBE) for an optimized crystal structure of DyGaAs2O8.

Results
- crystal system = tetragonal
- space group = No. 119
- formation energy from raw total energies (eV per formula unit) = -21.2
- D(E_F) (states/eV/atom) = 0.00
- ρ (g/cm³) = 5.646
- raw total energy (eV per formula unit) = -77.8

a b c (Å): 5.815 5.815 5.815
angles (deg): 106.45 106.45 115.71
Fractional coordinates of all 12 atoms:
Dy  0.000  0.000  0.000
Ga  0.250  0.750  0.500
As  0.750  0.250  0.500
As  0.500  0.500  0.000
O  0.380  0.058  0.322
O  0.319  0.508  0.189
O  0.319  0.129  0.811
O  0.736  0.058  0.678
O  0.871  0.681  0.189
O  0.942  0.264  0.322
O  0.942  0.620  0.678
O  0.492  0.681  0.811